[1]
Below is a relaxed structure of WS2IN, with properties calculated at the PBE level.

It has space group P4/mmm (No. 123), with a = 4.9050 Å, b = 4.9050 Å, c = 3.8777 Å, α = 90.00°, β = 90.00° and γ = 90.00°. The distinct sites, in fractional coordinates, are W at (0.0000, 0.0000, 0.0000), S at (0.0000, 0.5000, 0.0000), I at (0.5000, 0.5000, 0.5000) and N at (0.0000, 0.0000, 0.5000).

As for the formation energy (no corrections): 1.74 eV per formula unit. As for the calculated volume: 93 Å³ per cell. The value obtained for the energy relative to the lowest polymorph listed for this composition is 0 meV per atom.

[2]
Below is a relaxed structure of ZnSI2N, with properties calculated at the PBE level.

It has space group P4/mmm (No. 123), with a = 5.7433 Å, b = 5.7433 Å, c = 3.7912 Å, α = 90.00°, β = 90.00° and γ = 90.00°. The distinct sites, in fractional coordinates, are Zn at (0.0000, 0.0000, 0.0000), S at (0.5000, 0.5000, 0.5000), I at (0.0000, 0.5000, 0.0000) and N at (0.0000, 0.0000, 0.5000).

As for the formation energy (no corrections): 5.07 eV per formula unit. As for the calculated volume: 125 Å³ per cell. The value obtained for the energy relative to the lowest polymorph listed for this composition is 285 meV per atom.

[3]
Below is a relaxed structure of ZnS2IN, with properties calculated at the PBE level.

It has space group P4/mmm (No. 123), with a = 5.2068 Å, b = 5.2068 Å, c = 3.9334 Å, α = 90.00°, β = 90.00° and γ = 90.00°. The distinct sites, in fractional coordinates, are Zn at (0.0000, 0.0000, 0.0000), S at (0.0000, 0.5000, 0.5000), I at (0.5000, 0.5000, 0.5000) and N at (0.5000, 0.5000, 0.0000).

As for the formation energy (no corrections): 6.57 eV per formula unit. As for the calculated volume: 107 Å³ per cell. The value obtained for the energy relative to the lowest polymorph listed for this composition is 272 meV per atom.

[4]
Below is a relaxed structure of ZnS2IN, with properties calculated at the PBE level.

It has space group P4/mmm (No. 123), with a = 5.0145 Å, b = 5.0145 Å, c = 3.8463 Å, α = 90.00°, β = 90.00° and γ = 90.00°. The distinct sites, in fractional coordinates, are Zn at (0.0000, 0.0000, 0.0000), S at (0.0000, 0.5000, 0.0000), I at (0.5000, 0.5000, 0.5000) and N at (0.0000, 0.0000, 0.5000).

As for the formation energy (no corrections): 5.21 eV per formula unit. As for the calculated volume: 97 Å³ per cell. The value obtained for the energy relative to the lowest polymorph listed for this composition is 0 meV per atom.